# 1
Density functional theory data (PBE) for a relaxed BeTlBr2 crystal.

a b c (Å): 5.965 5.965 5.965
angles (deg): 144.86 111.85 79.05
Sites, in units of the cell vectors:
Br: 0.738 0.238 0.500
Br: 0.082 0.082 0.000
Tl: 0.455 0.455 0.000
Be: 0.225 0.725 0.500

Calculated values
Its raw formation energy is -178.4 meV per atom. The energy above the most stable polymorph in this dataset comes out at 28.4 kJ per mole of atoms. The value obtained for the magnetic moment is 0.00 μB per atom. The calculation puts the calculated total energy at -10.15 eV per cell.


# 2
Density functional theory data (PBE) for a relaxed SrZrNi crystal.

a b c (Å): 3.833 3.833 6.598
angles (deg): 90.00 90.00 120.00
Sites, in units of the cell vectors:
Zr: 0.333 0.667 0.774
Sr: 0.667 0.333 0.273
Ni: 0.000 0.000 0.953

Calculated values
The energy above the most stable polymorph in this dataset comes out at 15.2 kJ per mole of atoms. The value obtained for the magnetic moment is 0.00 μB per atom. The calculation puts the calculated total energy at -15.41 eV per cell. For the calculated formation energy, the calculation gives 0.20 eV per atom.


# 3
Density functional theory data (PBE) for a relaxed AcOsO5 crystal.

a b c (Å): 5.866 5.866 7.794
angles (deg): 70.80 70.80 71.10
Sites, in units of the cell vectors:
Os: 0.000 0.000 0.000
Os: 0.000 0.000 0.500
O: 0.290 0.728 0.033
O: 0.782 0.806 0.604
O: 0.930 0.070 0.250
O: 0.806 0.782 0.104
O: 0.710 0.272 0.967
O: 0.194 0.218 0.896
O: 0.272 0.710 0.467
O: 0.218 0.194 0.396
O: 0.070 0.930 0.750
O: 0.728 0.290 0.533
Ac: 0.452 0.548 0.750
Ac: 0.548 0.452 0.250

Calculated values
Its raw formation energy is -1838.0 meV per atom. The value obtained for the magnetic moment is 0.13 μB per atom. The calculation puts the calculated total energy at -105.99 eV per cell.


# 4
Density functional theory data (PBE) for a relaxed LaNd10Y4 crystal.

a b c (Å): 6.910 9.728 9.728
angles (deg): 82.75 69.20 69.20
Sites, in units of the cell vectors:
Nd: 0.464 0.161 0.418
Nd: 0.750 0.500 0.500
Nd: 0.882 0.582 0.161
Nd: 0.250 0.500 0.500
Nd: 0.375 0.582 0.161
Nd: 0.956 0.161 0.418
Nd: 0.536 0.839 0.582
Nd: 0.118 0.418 0.839
Nd: 0.625 0.418 0.839
Nd: 0.044 0.839 0.582
La: 0.000 0.000 0.000
Y: 0.322 0.245 0.111
Y: 0.433 0.889 0.245
Y: 0.567 0.111 0.755
Y: 0.678 0.755 0.889

Calculated values
The value obtained for the magnetic moment is 0.00 μB per atom. The calculation puts the calculated total energy at -70.93 eV per cell. For the calculated formation energy, the calculation gives 0.50 eV per atom.


# 5
Density functional theory data (PBE) for a relaxed EuPuInSb crystal.

a b c (Å): 5.445 5.445 5.445
angles (deg): 60.00 60.00 60.00
Sites, in units of the cell vectors:
Sb: 0.000 0.000 0.000
Eu: 0.250 0.250 0.250
Pu: 0.750 0.750 0.750
In: 0.500 0.500 0.500

Calculated values
Its raw formation energy is -433.7 meV per atom. The value obtained for the magnetic moment is 3.31 μB per atom. The calculation puts the calculated total energy at -33.20 eV per cell.


# 6
Density functional theory data (PBE) for a relaxed Er3ZnAg crystal.

a b c (Å): 5.052 5.054 9.933
angles (deg): 90.00 75.27 90.00
Sites, in units of the cell vectors:
Ag: 0.165 0.250 0.319
Ag: 0.484 0.750 0.681
Er: 0.760 0.250 0.128
Er: 0.258 0.750 0.133
Er: 0.575 0.250 0.498
Er: 0.391 0.250 0.867
Er: 0.888 0.750 0.872
Er: 0.073 0.750 0.502
Zn: 0.980 0.250 0.689
Zn: 0.669 0.750 0.311

Calculated values
The energy above the most stable polymorph in this dataset comes out at 0.0 kJ per mole of atoms. The value obtained for the magnetic moment is 0.00 μB per atom. The calculation puts the calculated total energy at -38.10 eV per cell. For the calculated formation energy, the calculation gives -0.25 eV per atom.


# 7
Density functional theory data (PBE) for a relaxed Rb2Np2AlS6 crystal.

a b c (Å): 6.756 6.756 8.177
angles (deg): 98.16 98.16 119.55
Sites, in units of the cell vectors:
Np: 0.667 0.333 0.500
Np: 0.333 0.667 0.500
Rb: 0.170 0.830 0.000
Rb: 0.830 0.170 0.000
S: 0.373 0.062 0.680
S: 0.627 0.938 0.320
S: 0.938 0.627 0.320
S: 0.759 0.759 0.676
S: 0.062 0.373 0.680
S: 0.241 0.241 0.324
Al: 0.000 0.000 0.500

Calculated values
Its raw formation energy is -1246.8 meV per atom. The value obtained for the magnetic moment is 0.64 μB per atom. The calculation puts the calculated total energy at -70.04 eV per cell.


# 8
Density functional theory data (PBE) for a relaxed B2C crystal.

a b c (Å): 7.428 7.428 4.602
angles (deg): 77.14 77.14 20.61
Sites, in units of the cell vectors:
B: 0.178 0.178 0.809
B: 0.343 0.343 0.258
B: 0.607 0.607 0.420
B: 0.280 0.280 0.980
B: 0.854 0.854 0.847
B: 0.161 0.161 0.177
B: 0.780 0.780 0.599
B: 0.969 0.969 0.043
C: 0.493 0.493 0.520
C: 0.667 0.667 0.660
C: 0.963 0.963 0.705
C: 0.454 0.454 0.233

Calculated values
The energy above the most stable polymorph in this dataset comes out at 23.0 kJ per mole of atoms. The value obtained for the magnetic moment is 0.00 μB per atom. The calculation puts the calculated total energy at -85.23 eV per cell. For the calculated formation energy, the calculation gives 0.42 eV per atom.


The D(E_F) results, record by record, are as follows: 0.395; 2.574; 1.923; 27.947; 12.168; 10.402; 18.087; 0.578 states/eV per cell.